# GdYSi2Os2, optimized geometry, DFT PBE
data_GdYSi2Os2
_cell_length_a 4.1874
_cell_length_b 4.1874
_cell_length_c 6.7012
_cell_angle_alpha 90.00
_cell_angle_beta 90.00
_cell_angle_gamma 90.00
_symmetry_space_group_name_H-M 'P 1'
_symmetry_Int_Tables_number 1
_symmetry_space_group_name_Hall 'P 1'
loop_
_atom_site_label
_atom_site_type_symbol
_atom_site_fract_x
_atom_site_fract_y
_atom_site_fract_z
_atom_site_occupancy
Gd1 Gd 0.0000 0.0000 0.0000 1
Y1 Y 0.5000 0.5000 0.6473 1
Si1 Si 0.0000 0.0000 0.5150 1
Si2 Si 0.5000 0.5000 0.1342 1
Os1 Os 0.0000 0.5000 0.3247 1
Os2 Os 0.5000 0.0000 0.3247 1
# E_tot in eV/atom: -8.075
# Calculated density in g/cm³: 9.65


# KAgNO, optimized geometry, DFT PBE
data_KAgNO
_cell_length_a 4.1466
_cell_length_b 4.1466
_cell_length_c 9.1602
_cell_angle_alpha 90.00
_cell_angle_beta 90.00
_cell_angle_gamma 90.00
_symmetry_space_group_name_H-M 'P 1'
_symmetry_Int_Tables_number 1
_symmetry_space_group_name_Hall 'P 1'
loop_
_atom_site_label
_atom_site_type_symbol
_atom_site_fract_x
_atom_site_fract_y
_atom_site_fract_z
_atom_site_occupancy
K1 K 0.2500 0.2500 0.1669 1
K2 K 0.7500 0.7500 0.8331 1
Ag1 Ag 0.2500 0.7500 0.5000 1
Ag2 Ag 0.7500 0.2500 0.5000 1
N1 N 0.2500 0.2500 0.5590 1
N2 N 0.7500 0.7500 0.4410 1
O1 O 0.2500 0.7500 0.0000 1
O2 O 0.7500 0.2500 0.0000 1
# E_tot in eV/atom: -3.589
# Calculated density in g/cm³: 3.73
# Relative energy among the computed polymorphs in eV per atom: 0.595


# Zn2Co3Ag3, optimized geometry, DFT PBE
data_Zn2Co3Ag3
_cell_length_a 5.4215
_cell_length_b 4.3767
_cell_length_c 5.5298
_cell_angle_alpha 90.00
_cell_angle_beta 118.52
_cell_angle_gamma 90.00
_symmetry_space_group_name_H-M 'P 1'
_symmetry_Int_Tables_number 1
_symmetry_space_group_name_Hall 'P 1'
loop_
_atom_site_label
_atom_site_type_symbol
_atom_site_fract_x
_atom_site_fract_y
_atom_site_fract_z
_atom_site_occupancy
Zn1 Zn 0.0000 0.0000 0.0000 1
Zn2 Zn 0.3250 0.5000 0.6716 1
Co1 Co 0.3057 0.5000 0.1726 1
Co2 Co 0.8778 0.5000 0.2047 1
Co3 Co 0.9844 0.0000 0.4532 1
Ag1 Ag 0.4914 0.0000 0.4855 1
Ag2 Ag 0.4920 0.0000 0.9890 1
Ag3 Ag 0.8404 0.5000 0.6749 1
# E_tot in eV/atom: -3.814
# Calculated density in g/cm³: 9.09
# Relative energy among the computed polymorphs in eV per atom: 0.013
# ΔE_f in kcal/mol of atoms: 5.22